NbS2 (PBE, optimized geometry); crystal system = orthorhombic; E_form (uncorrected) = -3.1 eV per formula unit; space group = No. 36; M_tot = 1.60 μB/cell
1.0
3.359 0.000 0.000
-1.679 2.909 0.000
0.000 0.000 36.984
S Nb
8 4
Direct
0.576 0.424 0.216
0.424 0.576 0.716
0.904 0.096 0.036
0.424 0.576 0.631
0.096 0.904 0.451
0.096 0.904 0.536
0.904 0.096 0.951
0.576 0.424 0.131
0.091 0.909 0.673
0.237 0.763 0.993
0.909 0.091 0.173
0.763 0.237 0.493